[1]
# CuReB2 (PBE, relaxed)
# Magnetic moment = 0.0 μB per cell
# Calculated formation energy = 61.9 kJ/mol of atoms
# Energy above the most stable polymorph in this dataset = 27 meV per atom
# Total DFT energy (no corrections) = -6.8330 eV per atom
data_CuReB2
_chemical_formula_sum 'Cu4 Re4 B8'
_space_group_name_H-M_alt 'I -4 2 d'
_space_group_IT_number 122
_space_group_name_Hall 'I -4 2bw'
_cell_length_a 5.6352
_cell_length_b 5.6352
_cell_length_c 5.2584
_cell_angle_alpha 90.00
_cell_angle_beta 90.00
_cell_angle_gamma 90.00
loop_
_atom_site_label
_atom_site_type_symbol
_atom_site_fract_x
_atom_site_fract_y
_atom_site_fract_z
Cu1 Cu 0.0000 0.0000 0.0000
Re1 Re 0.0000 0.0000 0.5000
B1 B 0.2313 0.2500 0.1250

[2]
# CsTmP2O6 (PBE, relaxed)
# Magnetic moment = 8.0 μB per cell
# Formation energy from raw total energies = -2.35 eV per atom
# Total DFT energy (no corrections) = -6.9350 eV per atom
data_CsTmP2O6
_chemical_formula_sum 'Cs4 Tm4 P8 O24'
_space_group_name_H-M_alt 'C 1 2/c 1'
_space_group_IT_number 15
_cell_length_a 8.9483
_cell_length_b 10.7545
_cell_length_c 8.6319
_cell_angle_alpha 90.00
_cell_angle_beta 107.70
_cell_angle_gamma 90.00
loop_
_space_group_symop_operation_xyz
'x,y,z'
'-x,-y,-z'
'-x,y,-z+1/2'
'x,-y,z+1/2'
'x+1/2,y+1/2,z'
'-x+1/2,-y+1/2,-z'
'-x+1/2,y+1/2,-z+1/2'
'x+1/2,-y+1/2,z+1/2'
loop_
_atom_site_label
_atom_site_type_symbol
_atom_site_fract_x
_atom_site_fract_y
_atom_site_fract_z
Cs1 Cs 0.0000 0.1605 0.2500
Tm1 Tm 0.0000 0.3476 0.7500
P1 P 0.2337 0.4036 0.1535
O1 O 0.0951 0.3462 0.0184
O2 O 0.1703 0.1980 0.7305
O3 O 0.1803 0.4907 0.7463

[3]
# Cd2BPt (PBE, relaxed)
# Magnetic moment = 0.0 μB per cell
# Calculated formation energy = 17.0 kJ/mol of atoms
# Total DFT energy (no corrections) = -3.4606 eV per atom
data_Cd2BPt
_chemical_formula_sum 'Cd8 B4 Pt4'
_space_group_name_H-M_alt 'I -4 2 d'
_space_group_IT_number 122
_space_group_name_Hall 'I -4 2bw'
_cell_length_a 9.3033
_cell_length_b 9.3033
_cell_length_c 4.1288
_cell_angle_alpha 90.00
_cell_angle_beta 90.00
_cell_angle_gamma 90.00
loop_
_atom_site_label
_atom_site_type_symbol
_atom_site_fract_x
_atom_site_fract_y
_atom_site_fract_z
Cd1 Cd 0.0007 0.2500 0.1250
B1 B 0.0000 0.0000 0.0000
Pt1 Pt 0.0000 0.0000 0.5000

[4]
# V2CrHgTe (PBE, relaxed)
# Magnetic moment = 9.3 μB per cell
# Formation energy from raw total energies = 1.35 eV per atom
# Total DFT energy (no corrections) = -4.9062 eV per atom
data_V2CrHgTe
_chemical_formula_sum 'V2 Cr1 Hg1 Te1'
_space_group_name_H-M_alt 'P 4/m m m'
_space_group_IT_number 123
_space_group_name_Hall '-P 4 2'
_cell_length_a 5.0480
_cell_length_b 5.0480
_cell_length_c 5.0326
_cell_angle_alpha 90.00
_cell_angle_beta 90.00
_cell_angle_gamma 90.00
loop_
_atom_site_label
_atom_site_type_symbol
_atom_site_fract_x
_atom_site_fract_y
_atom_site_fract_z
V1 V 0.0000 0.5000 0.0000
Cr1 Cr 0.0000 0.0000 0.5000
Hg1 Hg 0.0000 0.0000 0.0000
Te1 Te 0.5000 0.5000 0.5000

[5]
# K2ZrSe (PBE, relaxed)
# Magnetic moment = 1.6 μB per cell
# Formation energy from raw total energies = -0.27 eV per atom
# Total DFT energy (no corrections) = -3.8256 eV per atom
data_K2ZrSe
_chemical_formula_sum 'K4 Zr2 Se2'
_space_group_name_H-M_alt 'I m m m'
_space_group_IT_number 71
_space_group_name_Hall '-I 2 2'
_cell_length_a 3.7413
_cell_length_b 3.9402
_cell_length_c 21.0416
_cell_angle_alpha 90.00
_cell_angle_beta 90.00
_cell_angle_gamma 90.00
loop_
_atom_site_label
_atom_site_type_symbol
_atom_site_fract_x
_atom_site_fract_y
_atom_site_fract_z
K1 K 0.0000 0.0000 0.1556
Zr1 Zr 0.0000 0.5000 0.0000
Se1 Se 0.0000 0.5000 0.5000

[6]
# SmDy6Y5 (PBE, relaxed)
# Magnetic moment = 0.0 μB per cell
# Calculated formation energy = 1.9 kJ/mol of atoms
# Total DFT energy (no corrections) = -5.3681 eV per atom
data_SmDy6Y5
_chemical_formula_sum 'Sm2 Dy12 Y10'
_space_group_name_H-M_alt 'C 1 2/m 1'
_space_group_IT_number 12
_cell_length_a 6.1690
_cell_length_b 10.6738
_cell_length_c 11.8083
_cell_angle_alpha 90.00
_cell_angle_beta 99.96
_cell_angle_gamma 90.00
loop_
_space_group_symop_operation_xyz
'x,y,z'
'-x,-y,-z'
'-x,y,-z'
'x,-y,z'
'x+1/2,y+1/2,z'
'-x+1/2,-y+1/2,-z'
'-x+1/2,y+1/2,-z'
'x+1/2,-y+1/2,z'
loop_
_atom_site_label
_atom_site_type_symbol
_atom_site_fract_x
_atom_site_fract_y
_atom_site_fract_z
Sm1 Sm 0.0000 0.0000 0.0000
Dy1 Dy 0.2496 0.0000 0.7496
Dy2 Dy 0.2501 0.1665 0.2505
Y1 Y 0.0000 0.1669 0.5000
Y2 Y 0.0000 0.3333 0.0000
Y3 Y 0.0000 0.5000 0.5000

[7]
# Ca5Ag6 (PBE, relaxed)
# Magnetic moment = 0.0 μB per cell
# Calculated formation energy = -19.9 kJ/mol of atoms
# Total DFT energy (no corrections) = -2.6709 eV per atom
data_Ca5Ag6
_chemical_formula_sum 'Ca10 Ag12'
_space_group_name_H-M_alt 'I m m m'
_space_group_IT_number 71
_space_group_name_Hall '-I 2 2'
_cell_length_a 5.1670
_cell_length_b 7.5974
_cell_length_c 15.4617
_cell_angle_alpha 90.00
_cell_angle_beta 90.00
_cell_angle_gamma 90.00
loop_
_atom_site_label
_atom_site_type_symbol
_atom_site_fract_x
_atom_site_fract_y
_atom_site_fract_z
Ca1 Ca 0.0000 0.0000 0.0000
Ca2 Ca 0.0000 0.0000 0.3586
Ca3 Ca 0.0000 0.5000 0.3245
Ag1 Ag 0.0000 0.2234 0.1791
Ag2 Ag 0.0000 0.2933 0.5000

[8]
# V2ReH (PBE, relaxed)
# Magnetic moment = 0.0 μB per cell
# Energy above the most stable polymorph in this dataset = 0 meV per atom
# Total DFT energy (no corrections) = -8.5222 eV per atom
data_V2ReH
_chemical_formula_sum 'V6 Re3 H3'
_space_group_name_H-M_alt 'R -3 m'
_space_group_IT_number 166
_space_group_name_Hall '-R 3 2"'
_cell_length_a 2.8320
_cell_length_b 2.8320
_cell_length_c 19.2483
_cell_angle_alpha 90.00
_cell_angle_beta 90.00
_cell_angle_gamma 120.00
loop_
_atom_site_label
_atom_site_type_symbol
_atom_site_fract_x
_atom_site_fract_y
_atom_site_fract_z
V1 V 0.0000 0.0000 0.2269
Re1 Re 0.0000 0.0000 0.0000
H1 H 0.0000 0.0000 0.5000

[9]
# Rb2CeZn2Se4 (PBE, relaxed)
# Magnetic moment = 2.8 μB per cell
# Formation energy from raw total energies = -1.07 eV per atom
# Total DFT energy (no corrections) = -3.7809 eV per atom
data_Rb2CeZn2Se4
_chemical_formula_sum 'Rb4 Ce2 Zn4 Se8'
_space_group_name_H-M_alt 'C 1 2/m 1'
_space_group_IT_number 12
_cell_length_a 15.8594
_cell_length_b 4.4255
_cell_length_c 8.2226
_cell_angle_alpha 90.00
_cell_angle_beta 109.25
_cell_angle_gamma 90.00
loop_
_space_group_symop_operation_xyz
'x,y,z'
'-x,-y,-z'
'-x,y,-z'
'x,-y,z'
'x+1/2,y+1/2,z'
'-x+1/2,-y+1/2,-z'
'-x+1/2,y+1/2,-z'
'x+1/2,-y+1/2,z'
loop_
_atom_site_label
_atom_site_type_symbol
_atom_site_fract_x
_atom_site_fract_y
_atom_site_fract_z
Rb1 Rb 0.1315 0.0000 0.0591
Ce1 Ce 0.0000 0.0000 0.5000
Zn1 Zn 0.1725 0.5000 0.4918
Se1 Se 0.0213 0.5000 0.2635
Se2 Se 0.2045 0.0000 0.6614

[10]
# LuPuZnHg (PBE, relaxed)
# Magnetic moment = 23.7 μB per cell
# Calculated formation energy = -18.3 kJ/mol of atoms
# Total DFT energy (no corrections) = -5.2966 eV per atom
data_LuPuZnHg
_chemical_formula_sum 'Lu4 Pu4 Zn4 Hg4'
_space_group_name_H-M_alt 'F -4 3 m'
_space_group_IT_number 216
_space_group_name_Hall 'F -4 2 3'
_cell_length_a 7.2773
_cell_length_b 7.2773
_cell_length_c 7.2773
_cell_angle_alpha 90.00
_cell_angle_beta 90.00
_cell_angle_gamma 90.00
loop_
_atom_site_label
_atom_site_type_symbol
_atom_site_fract_x
_atom_site_fract_y
_atom_site_fract_z
Lu1 Lu 0.0000 0.0000 0.0000
Pu1 Pu 0.0000 0.0000 0.5000
Zn1 Zn 0.2500 0.2500 0.7500
Hg1 Hg 0.2500 0.2500 0.2500

[11]
# CsKRbHg2 (PBE, relaxed)
# Magnetic moment = 0.0 μB per cell
# Calculated formation energy = -16.0 kJ/mol of atoms
# Total DFT energy (no corrections) = -0.8699 eV per atom
data_CsKRbHg2
_chemical_formula_sum 'Cs4 K4 Rb4 Hg8'
_space_group_name_H-M_alt 'C 1 2/m 1'
_space_group_IT_number 12
_cell_length_a 19.8805
_cell_length_b 5.1641
_cell_length_c 13.9979
_cell_angle_alpha 90.00
_cell_angle_beta 129.37
_cell_angle_gamma 90.00
loop_
_space_group_symop_operation_xyz
'x,y,z'
'-x,-y,-z'
'-x,y,-z'
'x,-y,z'
'x+1/2,y+1/2,z'
'-x+1/2,-y+1/2,-z'
'-x+1/2,y+1/2,-z'
'x+1/2,-y+1/2,z'
loop_
_atom_site_label
_atom_site_type_symbol
_atom_site_fract_x
_atom_site_fract_y
_atom_site_fract_z
Cs1 Cs 0.0497 0.0000 0.2075
K1 K 0.2366 0.5000 0.1243
Rb1 Rb 0.1181 0.5000 0.5439
Hg1 Hg 0.0952 0.5000 0.7889
Hg2 Hg 0.2382 0.5000 0.4233

[12]
# AlCrPb (PBE, relaxed)
# Magnetic moment = 5.9 μB per cell
# Calculated formation energy = 35.8 kJ/mol of atoms
# Energy above the most stable polymorph in this dataset = 0 meV per atom
# Total DFT energy (no corrections) = -5.3207 eV per atom
data_AlCrPb
_chemical_formula_sum 'Al2 Cr2 Pb2'
_space_group_name_H-M_alt 'I 4 m m'
_space_group_IT_number 107
_space_group_name_Hall 'I 4 -2'
_cell_length_a 3.1801
_cell_length_b 3.1801
_cell_length_c 11.9509
_cell_angle_alpha 90.00
_cell_angle_beta 90.00
_cell_angle_gamma 90.00
loop_
_atom_site_label
_atom_site_type_symbol
_atom_site_fract_x
_atom_site_fract_y
_atom_site_fract_z
Al1 Al 0.0000 0.0000 0.0000
Cr1 Cr 0.0000 0.0000 0.3884
Pb1 Pb 0.0000 0.0000 0.7123

[13]
# HfZn2Pd (PBE, relaxed)
# Magnetic moment = 0.0 μB per cell
# Calculated formation energy = -34.2 kJ/mol of atoms
# Total DFT energy (no corrections) = -4.7776 eV per atom
data_HfZn2Pd
_chemical_formula_sum 'Hf1 Zn2 Pd1'
_space_group_name_H-M_alt 'P 4/m m m'
_space_group_IT_number 123
_space_group_name_Hall '-P 4 2'
_cell_length_a 3.1779
_cell_length_b 3.1779
_cell_length_c 6.4465
_cell_angle_alpha 90.00
_cell_angle_beta 90.00
_cell_angle_gamma 90.00
loop_
_atom_site_label
_atom_site_type_symbol
_atom_site_fract_x
_atom_site_fract_y
_atom_site_fract_z
Hf1 Hf 0.0000 0.0000 0.0000
Zn1 Zn 0.5000 0.5000 0.2815
Pd1 Pd 0.0000 0.0000 0.5000